Entry 1:
The following is a PBE-GGA calculation of LiHfFeGe after structural relaxation, from the Alexandria database.

```
LiHfFeGe
1.0
4.289 0.000 0.000
2.145 3.715 0.000
2.145 1.238 3.502
Li Fe Hf Ge
1 1 1 1
Cartesian
4.289 2.476 1.751 Li
0.000 0.000 0.000 Fe
6.434 3.715 2.627 Hf
2.145 1.238 0.876 Ge
```

- ΔH_f (0 K): -29.4 kJ/mol of atoms
- Symmetry: No. 216
- Calculated volume: 55.8 Å³/cell

Entry 2:
The following is a PBE-GGA calculation of GaBiI2 after structural relaxation, from the Alexandria database.

```
GaBiI2
1.0
-4.304 1.223 -3.652
-2.451 -5.094 1.182
-8.516 2.269 6.230
I Ga Bi
4 2 2
Cartesian
-5.177 0.710 -0.621 I
-8.890 0.312 3.733 I
-12.327 -1.747 2.527 I
-4.147 -2.478 1.884 I
-7.172 -2.380 3.089 Ga
-3.377 -1.935 -1.235 Ga
0.000 0.000 0.000 Bi
-8.099 0.779 0.672 Bi
```

- Formation energy without anion corrections: 0.281 eV/f.u.
- Symmetry: No. 122
- Excess energy over the best structure of this formula in the dataset: 0.0000 eV/atom
- Calculated volume: 333.2 Å³/cell

Entry 3:
The following is a PBE-GGA calculation of PmPaZnHg after structural relaxation, from the Alexandria database.

```
PmPaZnHg
1.0
-0.758 4.784 -1.995
-4.212 0.966 -2.962
-3.859 3.025 1.842
Pa Pm Zn Hg
1 1 1 1
Cartesian
-2.207 2.194 -0.779 Pa
-6.622 6.582 -2.336 Pm
0.000 0.000 0.000 Zn
-4.414 4.388 -1.557 Hg
```

- ΔH_f (0 K): 1.8 kJ/mol of atoms
- Symmetry: No. 216
- Calculated volume: 101.7 Å³/cell